1.
Density functional theory data (PBE-GGA) for a relaxed structure of Ta2CoHgBi.

The structure in POSCAR format:
```
Ta2CoHgBi
1.0
5.2087 0.0000 0.0000
0.0000 5.2087 0.0000
0.0000 0.0000 4.6157
Ta Co Hg Bi
2 1 1 1
Cartesian
0.0000 2.6044 0.0000 Ta
2.6044 0.0000 0.0000 Ta
0.0000 0.0000 2.3079 Co
2.6044 2.6044 2.3079 Hg
0.0000 0.0000 0.0000 Bi
```

Summary:
Space group ... P4/mmm, No. 123
Magnetization ... 0.05 μB per formula unit
Formation enthalpy at 0 K ... 193 kJ per mole of atoms



2.
Density functional theory data (PBE-GGA) for a relaxed structure of ZrAg4Os.

The structure in POSCAR format:
```
ZrAg4Os
1.0
0.0000 3.7730 3.7730
3.7730 0.0000 3.7730
3.7730 3.7730 0.0000
Zr Ag Os
1 4 1
Cartesian
0.0000 0.0000 0.0000 Zr
4.7147 2.8314 2.8314 Ag
2.8314 4.7147 2.8314 Ag
2.8314 2.8314 4.7147 Ag
4.7147 4.7147 4.7147 Ag
1.8865 1.8865 1.8865 Os
```

Summary:
Space group ... F-43m, No. 216
Magnetization ... 0.00 μB per formula unit
Formation enthalpy at 0 K ... 44 kJ per mole of atoms



3.
Density functional theory data (PBE-GGA) for a relaxed structure of HgPb2Au.

The structure in POSCAR format:
```
HgPb2Au
1.0
4.4427 0.0000 0.0000
0.0000 4.4427 0.0000
0.0000 0.0000 10.6738
Hg Pb Au
2 4 2
Cartesian
0.0000 0.0000 0.0000 Hg
2.2214 2.2214 5.3369 Hg
0.0000 0.0000 5.3369 Pb
0.0000 2.2214 8.0053 Pb
2.2214 0.0000 2.6684 Pb
2.2214 2.2214 0.0000 Pb
0.0000 2.2214 2.6684 Au
2.2214 0.0000 8.0053 Au
```

Summary:
Space group ... I-4m2, No. 119
E above lowest polymorph ... 2.14 kcal/mol of atoms
Magnetization ... 0.00 μB per formula unit
Formation enthalpy at 0 K ... 5 kJ per mole of atoms



4.
Density functional theory data (PBE-GGA) for a relaxed structure of MnRu2Rh.

The structure in POSCAR format:
```
MnRu2Rh
1.0
2.6771 0.0000 0.0000
-1.3386 2.3184 0.0000
0.0000 0.0000 25.8845
Mn Ru Rh
3 6 3
Cartesian
0.0000 0.0000 0.0000 Mn
0.0000 1.5456 17.2563 Mn
1.3386 0.7728 8.6281 Mn
0.0000 0.0000 6.5701 Ru
0.0000 0.0000 19.3144 Ru
0.0000 1.5456 10.6862 Ru
0.0000 1.5456 23.8264 Ru
1.3386 0.7728 2.0580 Ru
1.3386 0.7728 15.1983 Ru
0.0000 0.0000 12.9422 Rh
0.0000 1.5456 4.3141 Rh
1.3386 0.7728 21.5704 Rh
```

Summary:
Space group ... R-3m, No. 166
Magnetization ... 0.94 μB per formula unit
Formation enthalpy at 0 K ... 11 kJ per mole of atoms



5.
Density functional theory data (PBE-GGA) for a relaxed structure of Ag3NF.

The structure in POSCAR format:
```
Ag3NF
1.0
4.2958 0.0000 0.0000
0.0000 4.2958 0.0000
0.0000 0.0000 4.2958
Ag N F
3 1 1
Cartesian
0.0000 0.0000 2.1479 Ag
0.0000 2.1479 0.0000 Ag
2.1479 0.0000 0.0000 Ag
0.0000 0.0000 0.0000 N
2.1479 2.1479 2.1479 F
```

Summary:
Space group ... Pm-3m, No. 221
E above lowest polymorph ... 10.74 kcal/mol of atoms
Magnetization ... 0.00 μB per formula unit
Uncorrected formation energy ... 0.2133 eV per atom



6.
Density functional theory data (PBE-GGA) for a relaxed structure of BeRhBr2.

The structure in POSCAR format:
```
BeRhBr2
1.0
3.3016 0.0000 0.0000
0.0000 3.3016 0.0000
0.0000 0.0000 7.7076
Be Rh Br
1 1 2
Cartesian
0.0000 0.0000 0.0000 Be
1.6508 1.6508 0.5234 Rh
0.0000 0.0000 2.3105 Br
1.6508 1.6508 5.8130 Br
```

Summary:
Space group ... P4mm, No. 99
E above lowest polymorph ... 9.51 kcal/mol of atoms
Magnetization ... 0.50 μB per formula unit
Uncorrected formation energy ... 0.0075 eV per atom



Listing N(E_F) for the structures above in their given order: 11.7 7.6 4.6 17.5 3.9 4.1 states/eV per cell.
Listing energy for the structures above in their given order: -0.1839 -0.1744 -0.0990 -0.3180 -0.1300 -0.1322 Ha/atom.